Entry 1:
! PBE PmTl3Pt8, relaxed; values from VASP
! Electronic total energy ... -5.436 eV/atom
! Formation enthalpy at 0 K ... -0.4209 eV/atom
! SG ... R3m
! Density of states at the Fermi level ... 4.99 states/eV/f.u.
! Density ... 16.62 g cm⁻³
&SYSTEM
  ibrav = 0, nat = 12, ntyp = 3
/
ATOMIC_SPECIES
Pt 195.08 Pt.upf
Tl 204.38 Tl.upf
Pm 145.00 Pm.upf
ATOMIC_POSITIONS angstrom
Pt 3.345 2.049 3.172
Pt 5.956 2.049 3.960
Pt 5.262 3.222 11.028
Tl 2.861 1.752 9.494
Tl 0.038 0.023 9.360
Pt 4.532 4.374 3.960
Tl 3.789 2.321 6.419
Pt 4.550 4.393 8.646
Pt 5.981 2.057 8.646
Pt 7.172 4.393 9.437
Pt 1.439 0.881 4.719
Pm 6.691 4.098 6.291
CELL_PARAMETERS angstrom
5.249 0.000 1.584
2.385 4.676 1.584
0.013 0.008 9.443

Entry 2:
! PBE PmTl2Pt9, relaxed; values from VASP
! Electronic total energy ... -5.714 eV/atom
! Formation enthalpy at 0 K ... -0.3930 eV/atom
! SG ... R-3m
! Density of states at the Fermi level ... 6.99 states/eV/f.u.
! Density ... 16.90 g cm⁻³
&SYSTEM
  ibrav = 0, nat = 12, ntyp = 3
/
ATOMIC_SPECIES
Pm 145.00 Pm.upf
Pt 195.08 Pt.upf
Tl 204.38 Tl.upf
ATOMIC_POSITIONS angstrom
Pm 0.000 0.000 0.000
Pt 1.875 2.763 8.022
Pt 5.825 1.945 4.420
Tl 1.120 0.685 5.813
Pt 4.518 2.763 8.809
Pt 4.386 4.298 4.420
Pt 3.850 2.354 6.221
Pt 5.158 3.154 11.403
Pt 3.313 0.410 8.022
Tl 6.579 4.023 6.629
Pt 2.541 1.554 1.039
Pt 3.181 1.945 3.633
CELL_PARAMETERS angstrom
5.237 0.000 1.559
2.387 4.662 1.559
0.075 0.046 9.325